(1)
Compound: CaLaZn2Co
Source: Alexandria via LeMat-Bulk
Functional: GGA-PBE
Structure: optimized geometry

Calculated values
For the raw total energy, the calculation gives -17.14 eV/f.u. The calculation puts the mass density at 5.2 g cm⁻³.

Cell lengths 4.9534, 4.9534, 4.7955 Å; angles 90.00, 90.00, 90.00 degrees
Closest atoms and distances in Å follow each position.
Sites, in units of the cell vectors:
Zn (0.0000, 0.5000, 0.0000)  2 Co 2.48
Zn (0.5000, 0.0000, 0.0000)  2 Co 2.48
Co (0.0000, 0.0000, 0.0000)  2 La 2.40, 4 Zn 2.48
Ca (0.5000, 0.5000, 0.5000)  8 Zn 3.45, 4 La 3.50
La (0.0000, 0.0000, 0.5000)  2 Co 2.40



(2)
Compound: Er8P3Pb3N
Source: Alexandria via LeMat-Bulk
Functional: GGA-PBE
Structure: optimized geometry

Calculated values
The calculation puts the formation energy from raw total energies at -1.00 eV per atom. For the raw total energy, the calculation gives -87.12 eV/f.u. The calculation puts the mass density at 8.8 g cm⁻³.

Cell lengths 7.6544, 7.6628, 8.8981 Å; angles 115.50, 90.00, 120.01 degrees
Closest atoms and distances in Å follow each position.
Sites, in units of the cell vectors:
Er (0.2676, 0.5351, 0.3028)  3 P 2.68-2.69
Er (0.7324, 0.4649, 0.6972)  3 P 2.68-2.69
Er (0.7881, 0.5762, 0.3179)  1 N 2.45, 2 P 2.71
Er (0.2119, 0.4238, 0.6821)  1 N 2.45, 2 P 2.71
Er (0.7882, 0.0300, 0.3176)  1 N 2.45, 2 P 2.71
Er (0.2118, 0.9700, 0.6824)  1 N 2.45, 2 P 2.71
Er (0.2418, 0.0300, 0.3178)  1 N 2.45, 2 P 2.71
Er (0.7582, 0.9700, 0.6822)  1 N 2.45, 2 P 2.71
P (0.5000, 0.0000, 0.5000)  6 Er 2.69-2.71
P (0.5000, 0.5000, 0.5000)  6 Er 2.68-2.71
P (0.0000, 0.5000, 0.5000)  6 Er 2.68-2.71
Pb (0.0000, 0.0000, 0.0000)  6 Er 3.22-3.24
Pb (0.0000, 0.5000, 0.0000)  6 Er 3.22-3.24
Pb (0.5000, 0.5000, 0.0000)  6 Er 3.22-3.24
N (0.0000, 0.0000, 0.5000)  6 Er 2.45



(3)
Compound: Nb2GaNi3
Source: Alexandria via LeMat-Bulk
Functional: GGA-PBE
Structure: optimized geometry

Calculated values
For the raw total energy, the calculation gives -42.38 eV/f.u. The calculation puts the mass density at 8.8 g cm⁻³.

Cell lengths 4.9237, 4.9237, 7.7951 Å; angles 90.00, 90.00, 120.00 degrees
Closest atoms and distances in Å follow each position.
Sites, in units of the cell vectors:
Nb (0.3333, 0.6667, 0.4419)  9 Ni 2.77-2.88, 3 Ga 2.88, 4 Nb 2.98-2.99
Nb (0.6667, 0.3333, 0.5581)  9 Ni 2.77-2.88, 3 Ga 2.88, 4 Nb 2.98-2.99
Nb (0.6667, 0.3333, 0.9419)  9 Ni 2.77-2.88, 3 Ga 2.88, 4 Nb 2.98-2.99
Nb (0.3333, 0.6667, 0.0581)  9 Ni 2.77-2.88, 3 Ga 2.88, 4 Nb 2.98-2.99
Ga (0.0000, 0.0000, 0.5000)  6 Ni 2.44
Ga (0.0000, 0.0000, 0.0000)  6 Ni 2.44
Ni (0.8283, 0.1717, 0.2500)  4 Ni 2.39-2.54, 2 Ga 2.44
Ni (0.8283, 0.6565, 0.2500)  4 Ni 2.39-2.54, 2 Ga 2.44
Ni (0.3435, 0.1717, 0.2500)  4 Ni 2.39-2.54, 2 Ga 2.44
Ni (0.1717, 0.8283, 0.7500)  4 Ni 2.39-2.54, 2 Ga 2.44
Ni (0.1717, 0.3435, 0.7500)  4 Ni 2.39-2.54, 2 Ga 2.44
Ni (0.6565, 0.8283, 0.7500)  4 Ni 2.39-2.54, 2 Ga 2.44



(4)
Compound: Pm2Sm9Tl
Source: Alexandria via LeMat-Bulk
Functional: GGA-PBE
Structure: optimized geometry

Calculated values
For the raw total energy, the calculation gives -54.84 eV/f.u. The calculation puts the mass density at 7.8 g cm⁻³.

Cell lengths 5.0365, 5.0365, 15.4747 Å; angles 90.00, 90.00, 90.00 degrees
Closest atoms and distances in Å follow each position.
Sites, in units of the cell vectors:
Pm (0.0000, 0.0000, 0.3310)  12 Sm 3.56-3.64
Pm (0.0000, 0.0000, 0.6690)  12 Sm 3.56-3.64
Sm (0.5000, 0.5000, 0.0000)  8 Sm 3.54, 4 Tl 3.56
Sm (0.5000, 0.5000, 0.3287)  4 Pm 3.56, 8 Sm 3.62-3.66
Sm (0.5000, 0.5000, 0.6713)  4 Pm 3.56, 8 Sm 3.62-3.66
Sm (0.5000, 0.0000, 0.1609)  2 Tl 3.54, 8 Sm 3.54-3.62, 2 Pm 3.64
Sm (0.5000, 0.0000, 0.5000)  8 Sm 3.56-3.66, 4 Pm 3.63
Sm (0.5000, 0.0000, 0.8391)  2 Tl 3.54, 8 Sm 3.54-3.62, 2 Pm 3.64
Sm (0.0000, 0.5000, 0.1609)  2 Tl 3.54, 8 Sm 3.54-3.62, 2 Pm 3.64
Sm (0.0000, 0.5000, 0.5000)  8 Sm 3.56-3.66, 4 Pm 3.63
Sm (0.0000, 0.5000, 0.8391)  2 Tl 3.54, 8 Sm 3.54-3.62, 2 Pm 3.64
Tl (0.0000, 0.0000, 0.0000)  12 Sm 3.54-3.56



no.,M_tot (μB per cell),N(E_F) (states/eV per atom)
1,0.00,0.791
2,0.00,0.318
3,0.01,1.322
4,0.00,1.364